1.
Entry from the Open Quantum Materials Database: crystalline Rb2Er2S3O at its relaxed geometry (PBE).

Cell lengths 3.8589, 3.8589, 14.8878 Å; angles 90.00, 90.00, 120.00 degrees
Space group P3m1 (No. 156)
Symmetry-distinct sites (fractional):
Rb 0.0000 0.0000 0.0000 x1
Rb 0.3333 0.6667 0.5264 x1
Er 0.6667 0.3333 0.2617 x1
Er 0.6667 0.3333 0.7886 x1
S 0.0000 0.0000 0.3631 x1
S 0.0000 0.0000 0.6838 x1
S 0.3333 0.6667 0.1575 x1
O 0.3333 0.6667 0.8542 x1

Output
**Volume**: 24.0 A^3/atom
**E**: -0.2035 hartree per atom

2.
Entry from the Open Quantum Materials Database: crystalline TlTcAgSe2S at its relaxed geometry (PBE).

Cell lengths 3.784, 14.698, 10.009 Å; angles 90.00, 90.00, 90.00 degrees
Space group Cmcm (No. 63)
Symmetry-distinct sites (fractional):
Tl 0.000 0.250 0.250 x4
Tc 0.000 0.000 0.000 x4
Ag 0.000 0.446 0.750 x4
Se 0.000 0.378 0.515 x8
S 0.000 0.059 0.750 x4

Output
**Volume**: 23.2 A^3/atom
**E**: -0.1659 hartree per atom

3.
Entry from the Open Quantum Materials Database: crystalline NaHg7Pd5 at its relaxed geometry (PBE).

Cell lengths 5.813, 9.714, 9.530 Å; angles 90.00, 90.00, 90.00 degrees
Space group Imm2 (No. 44)
Symmetry-distinct sites (fractional):
Na 0.000 0.000 0.000 x2
Hg 0.000 0.000 0.323 x2
Hg 0.000 0.000 0.688 x2
Hg 0.000 0.314 0.486 x4
Hg 0.000 0.327 0.003 x4
Hg 0.000 0.500 0.734 x2
Pd 0.000 0.500 0.249 x2
Pd 0.247 0.252 0.745 x8

Output
**Volume**: 20.7 A^3/atom
**E**: -0.0904 hartree per atom

4.
Entry from the Open Quantum Materials Database: crystalline PuSiNi at its relaxed geometry (PBE).

Cell lengths 6.154, 6.154, 6.154 Å; angles 90.00, 90.00, 90.00 degrees
Space group F-43m (No. 216)
Symmetry-distinct sites (fractional):
Pu 0.000 0.000 0.000 x4
Si 0.250 0.250 0.250 x4
Ni 0.250 0.250 0.750 x4

Output
**Volume**: 19.4 A^3/atom
**E**: -0.2917 hartree per atom